1.
Compound: SmHfGe2
Source: Alexandria
Functional: PBE-GGA
Structure: relaxed

a b c (Å): 4.179 12.599 6.501
angles (deg): 90.00 90.00 90.00
Space group Cmcm (No. 63)
Asymmetric unit:
Sm1 0.000 0.051 0.250 x4
Hf1 0.000 0.221 0.750 x4
Ge1 0.000 0.382 0.047 x8

calculated formation energy	-0.679	eV per atom
total magnetization	0.00	Bohr magnetons per cell
E	-6.66	eV/atom

***

2.
Compound: Sm5HfGe4
Source: Alexandria
Functional: PBE-GGA
Structure: relaxed

a b c (Å): 18.064 4.139 7.906
angles (deg): 90.00 106.36 90.00
Space group C2/m (No. 12)
Asymmetric unit:
Sm1 0.000 0.000 0.000 x2
Sm2 0.167 0.500 0.855 x4
Sm3 0.168 0.500 0.341 x4
Hf1 0.000 0.000 0.500 x2
Ge1 0.000 0.500 0.265 x4
Ge2 0.164 0.000 0.600 x4

calculated formation energy	-0.520	eV per atom
total magnetization	2.11	Bohr magnetons per cell
E	-5.72	eV/atom

***

3.
Compound: SmHfGe2
Source: Alexandria
Functional: PBE-GGA
Structure: relaxed

a b c (Å): 4.0016 4.0016 20.0467
angles (deg): 90.00 90.00 120.00
Space group R-3m (No. 166, hexagonal axes)
Asymmetric unit:
Sm1 0.0000 0.0000 0.0000 x3
Hf1 0.0000 0.0000 0.5000 x3
Ge1 0.0000 0.0000 0.2410 x6

calculated formation energy	-0.655	eV per atom
total magnetization	0.00	Bohr magnetons per cell
E	-6.63	eV/atom

***

4.
Compound: HfSn2Ge
Source: Alexandria
Functional: PBE-GGA
Structure: relaxed

a b c (Å): 8.067 8.067 5.873
angles (deg): 90.00 90.00 90.00
Space group I-42d (No. 122)
Asymmetric unit:
Hf1 0.000 0.000 0.000 x4
Sn1 0.242 0.250 0.625 x8
Ge1 0.000 0.000 0.500 x4

calculated formation energy	0.160	eV per atom
total magnetization	0.00	Bohr magnetons per cell
E	-5.48	eV/atom

***

5.
Compound: Hf8Sn2Ge
Source: Alexandria
Functional: PBE-GGA
Structure: relaxed

a b c (Å): 18.471 4.733 5.841
angles (deg): 90.00 106.81 90.00
Space group C2/m (No. 12)
Asymmetric unit:
Hf1 0.024 0.000 0.266 x4
Hf2 0.087 0.500 0.998 x4
Hf3 0.150 0.500 0.543 x4
Hf4 0.232 0.000 0.840 x4
Sn1 0.180 0.000 0.274 x4
Ge1 0.000 0.500 0.500 x2

calculated formation energy	-0.149	eV per atom
total magnetization	0.00	Bohr magnetons per cell
E	-8.54	eV/atom

***

6.
Compound: HfSn2Ge
Source: Alexandria
Functional: PBE-GGA
Structure: relaxed

a b c (Å): 3.1985 3.1985 33.5916
angles (deg): 90.00 90.00 120.00
Space group R-3m (No. 166, hexagonal axes)
Asymmetric unit:
Hf1 0.0000 0.0000 0.0000 x3
Sn1 0.0000 0.0000 0.0884 x6
Ge1 0.0000 0.0000 0.5000 x3

calculated formation energy	0.356	eV per atom
total magnetization	0.00	Bohr magnetons per cell
E	-5.29	eV/atom

***

7.
Compound: Hf6SnGe
Source: Alexandria
Functional: PBE-GGA
Structure: relaxed

a b c (Å): 9.8654 9.8654 6.3119
angles (deg): 90.00 90.00 120.00
Space group R-3m (No. 166, hexagonal axes)
Asymmetric unit:
Hf1 0.0120 0.5060 0.2587 x18
Sn1 0.0000 0.0000 0.0000 x3
Ge1 0.0000 0.0000 0.5000 x3

calculated formation energy	-0.027	eV per atom
total magnetization	0.00	Bohr magnetons per cell
E	-8.57	eV/atom

***

8.
Compound: HfSn2Ge2
Source: Alexandria
Functional: PBE-GGA
Structure: relaxed

a b c (Å): 7.198 7.198 4.257
angles (deg): 90.00 90.00 90.00
Space group P4/mbm (No. 127)
Asymmetric unit:
Hf1 0.000 0.000 0.000 x2
Sn1 0.172 0.328 0.500 x4
Ge1 0.134 0.634 0.000 x4

calculated formation energy	0.024	eV per atom
total magnetization	0.00	Bohr magnetons per cell
E	-5.42	eV/atom

***

9.
Compound: Hf2Sn2Ge
Source: Alexandria
Functional: PBE-GGA
Structure: relaxed

a b c (Å): 7.174 7.174 4.379
angles (deg): 90.00 90.00 90.00
Space group P4/mbm (No. 127)
Asymmetric unit:
Hf1 0.163 0.337 0.000 x4
Sn1 0.147 0.647 0.500 x4
Ge1 0.000 0.000 0.000 x2

calculated formation energy	-0.283	eV per atom
total magnetization	0.00	Bohr magnetons per cell
E	-6.79	eV/atom

***

10.
Compound: Hf5SnGe2
Source: Alexandria
Functional: PBE-GGA
Structure: relaxed

a b c (Å): 7.157 7.157 12.575
angles (deg): 90.00 90.00 90.00
Space group I4/mcm (No. 140)
Asymmetric unit:
Hf1 0.000 0.000 0.000 x4
Hf2 0.155 0.345 0.149 x16
Sn1 0.000 0.000 0.250 x4
Ge1 0.142 0.358 0.500 x8

calculated formation energy	-0.567	eV per atom
total magnetization	0.00	Bohr magnetons per cell
E	-8.44	eV/atom

***

11.
Compound: Hf6SnGe3
Source: Alexandria
Functional: PBE-GGA
Structure: relaxed

a b c (Å): 9.958 12.825 6.834
angles (deg): 90.00 90.00 90.00
Space group Cmc2_1 (No. 36)
Asymmetric unit:
Hf1 0.000 0.000 0.000 x4
Hf2 0.000 0.242 0.328 x4
Hf3 0.162 0.446 0.415 x8
Hf4 0.222 0.277 0.027 x8
Sn1 0.000 0.197 0.747 x4
Ge1 0.000 0.414 0.090 x4
Ge2 0.186 0.092 0.238 x8

calculated formation energy	-0.346	eV per atom
total magnetization	0.00	Bohr magnetons per cell
E	-8.10	eV/atom

***

Copy entry 9 word for word.
Compound: Hf2Sn2Ge
Source: Alexandria
Functional: PBE-GGA
Structure: relaxed

a b c (Å): 7.174 7.174 4.379
angles (deg): 90.00 90.00 90.00
Space group P4/mbm (No. 127)
Asymmetric unit:
Hf1 0.163 0.337 0.000 x4
Sn1 0.147 0.647 0.500 x4
Ge1 0.000 0.000 0.000 x2

calculated formation energy	-0.283	eV per atom
total magnetization	0.00	Bohr magnetons per cell
E	-6.79	eV/atom

***

Q: calculated formation energy of number 10 (Hf5SnGe2)?
A: -0.567 eV per atom